[1]
Density functional theory data (GGA-PBE) for crystalline ZrNpTc at its relaxed geometry. Values from VASP.

The value obtained for the size of the total moment is 3.1 μB/f.u. The formation energy comes out at 906 meV per atom. As for the space group: No. 216.

Cell and atoms, written as Quantum ESPRESSO input:
```
&SYSTEM
  ibrav = 0, nat = 3, ntyp = 3
/
ATOMIC_SPECIES
Zr 91.22 Zr.upf
Np 237.00 Np.upf
Tc 98.00 Tc.upf
CELL_PARAMETERS angstrom
1.087 1.112 4.189
-2.986 -0.489 3.288
0.570 -3.186 3.080
ATOMIC_POSITIONS crystal
Zr 0.750 0.750 0.750
Np 0.000 0.000 0.000
Tc 0.250 0.250 0.250
```

[2]
Density functional theory data (GGA-PBE) for crystalline NpTe at its relaxed geometry. Values from VASP.

The value obtained for the size of the total moment is 5.0 μB/f.u. The value obtained for the uncorrected energy is -7.981 eV per atom. As for the space group: No. 216.

Cell and atoms, written as Quantum ESPRESSO input:
```
&SYSTEM
  ibrav = 0, nat = 2, ntyp = 2
/
ATOMIC_SPECIES
Te 127.60 Te.upf
Np 237.00 Np.upf
CELL_PARAMETERS angstrom
0.000 3.513 3.513
3.513 0.000 3.513
3.513 3.513 0.000
ATOMIC_POSITIONS crystal
Te 0.250 0.250 0.250
Np 0.000 0.000 0.000
```

[3]
Density functional theory data (GGA-PBE) for crystalline Np3Te5 at its relaxed geometry. Values from VASP.

The value obtained for the size of the total moment is 11.0 μB/f.u. The value obtained for the uncorrected energy is -7.463 eV per atom. As for the space group: No. 62.

Cell and atoms, written as Quantum ESPRESSO input:
```
&SYSTEM
  ibrav = 0, nat = 32, ntyp = 2
/
ATOMIC_SPECIES
Np 237.00 Np.upf
Te 127.60 Te.upf
CELL_PARAMETERS angstrom
-0.037 -12.088 4.785
4.737 2.737 6.950
-6.981 1.648 4.110
ATOMIC_POSITIONS crystal
Np 0.181 0.000 0.976
Te 0.001 0.750 0.965
Te 0.999 0.250 0.035
Te 0.815 0.750 0.329
Te 0.685 0.250 0.829
Np 0.819 0.500 0.024
Np 0.819 0.000 0.024
Te 0.596 0.550 0.172
Np 0.319 0.500 0.476
Te 0.780 0.250 0.300
Te 0.096 0.550 0.328
Te 0.720 0.750 0.800
Te 0.501 0.750 0.535
Te 0.904 0.450 0.672
Te 0.315 0.750 0.171
Np 0.319 0.000 0.476
Np 0.681 0.000 0.524
Te 0.280 0.250 0.200
Te 0.185 0.250 0.671
Np 0.181 0.500 0.976
Np 0.681 0.500 0.524
Np 0.992 0.750 0.581
Te 0.499 0.250 0.465
Np 0.008 0.250 0.419
Np 0.508 0.250 0.081
Te 0.404 0.450 0.828
Te 0.220 0.750 0.700
Np 0.492 0.750 0.919
Te 0.596 0.950 0.172
Te 0.404 0.050 0.828
Te 0.096 0.950 0.328
Te 0.904 0.050 0.672
```

[4]
Density functional theory data (GGA-PBE) for crystalline NpTe2 at its relaxed geometry. Values from VASP.

The value obtained for the size of the total moment is 3.0 μB/f.u. The value obtained for the uncorrected energy is -6.931 eV per atom. As for the space group: No. 31.

Cell and atoms, written as Quantum ESPRESSO input:
```
&SYSTEM
  ibrav = 0, nat = 12, ntyp = 2
/
ATOMIC_SPECIES
Te 127.60 Te.upf
Np 237.00 Np.upf
CELL_PARAMETERS angstrom
4.349 0.000 0.000
0.000 7.576 0.000
0.000 0.000 14.314
ATOMIC_POSITIONS crystal
Te 0.500 0.136 0.626
Te 0.000 0.306 0.389
Np 0.000 0.529 0.009
Te 0.500 0.799 0.387
Te 0.500 0.358 0.128
Te 0.000 0.201 0.887
Np 0.000 0.970 0.505
Np 0.500 0.471 0.509
Te 0.000 0.864 0.126
Np 0.500 0.030 0.005
Te 0.000 0.642 0.628
Te 0.500 0.694 0.889
```

[5]
Density functional theory data (GGA-PBE) for crystalline NpTe2 at its relaxed geometry. Values from VASP.

The value obtained for the size of the total moment is 3.0 μB/f.u. The value obtained for the uncorrected energy is -6.832 eV per atom. As for the space group: No. 160.

Cell and atoms, written as Quantum ESPRESSO input:
```
&SYSTEM
  ibrav = 0, nat = 3, ntyp = 2
/
ATOMIC_SPECIES
Np 237.00 Np.upf
Te 127.60 Te.upf
CELL_PARAMETERS angstrom
2.057 1.188 7.380
-2.057 1.188 7.380
0.000 -2.375 7.380
ATOMIC_POSITIONS crystal
Np 0.001 0.001 0.001
Te 0.247 0.247 0.247
Te 0.421 0.421 0.421
```

[6]
Density functional theory data (GGA-PBE) for crystalline NpTe at its relaxed geometry. Values from VASP.

The value obtained for the size of the total moment is 4.6 μB/f.u. The value obtained for the uncorrected energy is -8.601 eV per atom. As for the space group: No. 225.

Cell and atoms, written as Quantum ESPRESSO input:
```
&SYSTEM
  ibrav = 0, nat = 2, ntyp = 2
/
ATOMIC_SPECIES
Te 127.60 Te.upf
Np 237.00 Np.upf
CELL_PARAMETERS angstrom
3.107 -3.107 0.000
-3.107 0.000 -3.107
3.107 3.107 0.000
ATOMIC_POSITIONS crystal
Te 0.500 0.000 0.500
Np 0.000 0.000 0.000
```

[7]
Density functional theory data (GGA-PBE) for crystalline NpTe at its relaxed geometry. Values from VASP.

The value obtained for the size of the total moment is 4.9 μB/f.u. The value obtained for the uncorrected energy is -8.519 eV per atom. As for the space group: No. 187.

Cell and atoms, written as Quantum ESPRESSO input:
```
&SYSTEM
  ibrav = 0, nat = 2, ntyp = 2
/
ATOMIC_SPECIES
Np 237.00 Np.upf
Te 127.60 Te.upf
CELL_PARAMETERS angstrom
-3.085 1.628 -1.959
-0.633 -2.055 3.374
0.451 3.576 2.262
ATOMIC_POSITIONS crystal
Np 0.667 0.333 0.750
Te 0.333 0.667 0.250
```

[8]
Density functional theory data (GGA-PBE) for crystalline NpTe3 at its relaxed geometry. Values from VASP.

The value obtained for the size of the total moment is 3.7 μB/f.u. The value obtained for the uncorrected energy is -6.125 eV per atom. As for the space group: No. 63.

Cell and atoms, written as Quantum ESPRESSO input:
```
&SYSTEM
  ibrav = 0, nat = 8, ntyp = 2
/
ATOMIC_SPECIES
Te 127.60 Te.upf
Np 237.00 Np.upf
CELL_PARAMETERS angstrom
4.381 0.290 12.493
-6.631 3.154 -11.020
-3.263 -2.648 1.206
ATOMIC_POSITIONS crystal
Te 0.420 0.580 0.250
Te 0.920 0.080 0.750
Te 0.205 0.795 0.750
Np 0.328 0.672 0.750
Te 0.795 0.205 0.250
Te 0.580 0.420 0.750
Np 0.672 0.328 0.250
Te 0.080 0.920 0.250
```

[9]
Density functional theory data (GGA-PBE) for crystalline NpUTe at its relaxed geometry. Values from VASP.

The value obtained for the size of the total moment is 9.2 μB/f.u. As for the space group: No. 216. For the offset from the most stable computed form, the calculation gives 0.00 eV per formula unit.

Cell and atoms, written as Quantum ESPRESSO input:
```
&SYSTEM
  ibrav = 0, nat = 3, ntyp = 3
/
ATOMIC_SPECIES
Te 127.60 Te.upf
U 238.03 U.upf
Np 237.00 Np.upf
CELL_PARAMETERS angstrom
0.000 3.592 3.592
3.592 0.000 3.592
3.592 3.592 0.000
ATOMIC_POSITIONS crystal
Te 0.000 0.000 0.000
U 0.750 0.750 0.750
Np 0.250 0.250 0.250
```

[10]
Density functional theory data (GGA-PBE) for crystalline NpTeW at its relaxed geometry. Values from VASP.

The value obtained for the size of the total moment is 4.4 μB/f.u. As for the space group: No. 216. For the offset from the most stable computed form, the calculation gives 0.00 eV per formula unit.

Cell and atoms, written as Quantum ESPRESSO input:
```
&SYSTEM
  ibrav = 0, nat = 3, ntyp = 3
/
ATOMIC_SPECIES
Np 237.00 Np.upf
W 183.84 W.upf
Te 127.60 Te.upf
CELL_PARAMETERS angstrom
0.000 3.302 3.302
3.302 0.000 3.302
3.302 3.302 0.000
ATOMIC_POSITIONS crystal
Np 0.250 0.250 0.250
W 0.000 0.000 0.000
Te 0.750 0.750 0.750
```

[11]
Density functional theory data (GGA-PBE) for crystalline YNpTe at its relaxed geometry. Values from VASP.

The value obtained for the size of the total moment is 6.0 μB/f.u. As for the space group: No. 216. For the offset from the most stable computed form, the calculation gives 0.00 eV per formula unit.

Cell and atoms, written as Quantum ESPRESSO input:
```
&SYSTEM
  ibrav = 0, nat = 3, ntyp = 3
/
ATOMIC_SPECIES
Te 127.60 Te.upf
Y 88.91 Y.upf
Np 237.00 Np.upf
CELL_PARAMETERS angstrom
0.000 3.603 3.603
3.603 0.000 3.603
3.603 3.603 0.000
ATOMIC_POSITIONS crystal
Te 0.000 0.000 0.000
Y 0.750 0.750 0.750
Np 0.250 0.250 0.250
```

[12]
Density functional theory data (GGA-PBE) for crystalline Th2Np at its relaxed geometry. Values from VASP.

The value obtained for the size of the total moment is 7.0 μB/f.u. The formation energy comes out at 2332 meV per atom. As for the space group: No. 227.

Cell and atoms, written as Quantum ESPRESSO input:
```
&SYSTEM
  ibrav = 0, nat = 6, ntyp = 2
/
ATOMIC_SPECIES
Th 232.04 Th.upf
Np 237.00 Np.upf
CELL_PARAMETERS angstrom
4.369 2.522 7.134
-4.369 2.522 7.134
0.000 -5.045 7.134
ATOMIC_POSITIONS crystal
Th 0.875 0.375 0.375
Th 0.375 0.375 0.875
Np 0.250 0.250 0.250
Th 0.375 0.875 0.375
Th 0.375 0.375 0.375
Np 0.500 0.500 0.500
```

Question: Number 7 is which compound?
Answer: NpTe

Question: The highest size of the total moment belongs to which entry?
Answer: Np3Te5